[1]
6
Lattice="0.000 4.487 4.487 4.487 0.000 4.487 4.487 4.487 0.000" Properties=species:S:1:pos:R:3 comment="AcSn4Pb | Alexandria via LeMat-Bulk | PBE | optimized geometry" relative_energy_mev_per_atom=65.3 delta_e_f_mev_per_atom=-253 final_energy_ev_per_atom=-4.22 pbc="T T T"
Ac 0.000 0.000 0.000
Sn 5.602 3.372 3.372
Sn 3.372 5.602 3.372
Sn 3.372 3.372 5.602
Sn 5.602 5.602 5.602
Pb 2.244 2.244 2.244

---

[2]
5
Lattice="5.066 0.000 0.000 0.000 5.066 0.000 0.000 0.000 5.066" Properties=species:S:1:pos:R:3 comment="BaGa3Si | Alexandria via LeMat-Bulk | PBE | optimized geometry" relative_energy_mev_per_atom=346.7 formation_energy_uncorrected_ev_per_fu=-0.01 final_energy_ev_per_atom=-3.29 pbc="T T T"
Ba 0.000 0.000 0.000
Ga 0.000 2.533 2.533
Ga 2.533 0.000 2.533
Ga 2.533 2.533 0.000
Si 2.533 2.533 2.533

---

[3]
4
Lattice="0.000 3.643 3.643 3.643 0.000 3.643 3.643 3.643 0.000" Properties=species:S:1:pos:R:3 comment="SrHoAgPt | Alexandria via LeMat-Bulk | PBE | optimized geometry" delta_e_f_mev_per_atom=-569 final_energy_ev_per_atom=-4.36 pbc="T T T"
Sr 0.000 0.000 0.000
Ho 3.643 3.643 3.643
Ag 5.464 5.464 5.464
Pt 1.821 1.821 1.821

---

[4]
6
Lattice="5.261 -1.411 0.000 5.261 1.411 0.000 -1.830 0.000 6.340" Properties=species:S:1:pos:R:3 comment="OsW2 | Alexandria via LeMat-Bulk | PBE | optimized geometry" relative_energy_mev_per_atom=171.9 delta_e_f_mev_per_atom=174 final_energy_ev_per_atom=-12.21 pbc="T T T"
Os -0.306 0.000 1.903
Os 8.998 0.000 4.437
W 2.674 0.000 2.340
W 2.091 0.000 6.084
W 6.601 0.000 0.256
W 6.018 0.000 4.000

---

[5]
4
Lattice="0.000 2.978 2.978 2.978 0.000 2.978 2.978 2.978 0.000" Properties=species:S:1:pos:R:3 comment="Na2CN | Alexandria via LeMat-Bulk | PBE | optimized geometry" relative_energy_mev_per_atom=906.0 formation_energy_uncorrected_ev_per_fu=6.88 final_energy_ev_per_atom=-3.33 pbc="T T T"
Na 1.489 1.489 1.489
Na 4.467 4.467 4.467
C 0.000 0.000 0.000
N 2.978 2.978 2.978

---

[6]
4
Lattice="-1.420 2.505 5.018 1.420 -2.505 5.018 1.420 2.505 -5.018" Properties=species:S:1:pos:R:3 comment="Hf2TcNi | Alexandria via LeMat-Bulk | PBE | optimized geometry" delta_e_f_mev_per_atom=505 final_energy_ev_per_atom=-8.51 pbc="T T T"
Hf 0.000 0.000 2.412
Hf 0.000 0.000 7.624
Tc 0.000 0.000 5.018
Ni 0.000 0.000 0.000